# Ba9Na3Pt2 PBE-GGA optimized geometry
# **Formation enthalpy at 0 K**: -0.29 eV per atom
# **V**: 53.68 Å³ per atom
data_Ba9Na3Pt2
_cell_length_a 8.8918
_cell_length_b 8.8918
_cell_length_c 21.9534
_cell_angle_alpha 90.00
_cell_angle_beta 90.00
_cell_angle_gamma 120.00
_symmetry_space_group_name_H-M 'P 63/m m c'
_symmetry_Int_Tables_number 194
_symmetry_space_group_name_Hall '-P 6c 2c'
loop_
_atom_site_label
_atom_site_type_symbol
_atom_site_fract_x
_atom_site_fract_y
_atom_site_fract_z
Ba1 Ba 0.0065 0.5032 0.2500
Ba2 Ba 0.1698 0.3397 0.0838
Na1 Na 0.0000 0.0000 0.2500
Na2 Na 0.3333 0.6667 0.5806
Pt1 Pt 0.3333 0.6667 0.1635

***

# Ba5NaPt PBE-GGA optimized geometry
# **Formation enthalpy at 0 K**: -0.27 eV per atom
# **V**: 54.17 Å³ per atom
data_Ba5NaPt
_cell_length_a 11.0207
_cell_length_b 12.1883
_cell_length_c 11.4689
_cell_angle_alpha 90.00
_cell_angle_beta 100.09
_cell_angle_gamma 90.00
_symmetry_space_group_name_H-M 'C 1 2/c 1'
_symmetry_Int_Tables_number 15
loop_
_symmetry_equiv_pos_as_xyz
'x,y,z'
'-x,-y,-z'
'-x,y,-z+1/2'
'x,-y,z+1/2'
'x+1/2,y+1/2,z'
'-x+1/2,-y+1/2,-z'
'-x+1/2,y+1/2,-z+1/2'
'x+1/2,-y+1/2,z+1/2'
loop_
_atom_site_label
_atom_site_type_symbol
_atom_site_fract_x
_atom_site_fract_y
_atom_site_fract_z
Ba1 Ba 0.0000 0.1123 0.2500
Ba2 Ba 0.1138 0.2214 0.6176
Ba3 Ba 0.2309 0.4272 0.0059
Na1 Na 0.0000 0.4361 0.2500
Pt1 Pt 0.0000 0.0000 0.0000

***

# Ba4NaPt PBE-GGA optimized geometry
# **Formation enthalpy at 0 K**: -0.30 eV per atom
# **V**: 53.74 Å³ per atom
data_Ba4NaPt
_cell_length_a 6.4395
_cell_length_b 22.8229
_cell_length_c 8.7758
_cell_angle_alpha 90.00
_cell_angle_beta 90.00
_cell_angle_gamma 90.00
_symmetry_space_group_name_H-M 'C m c m'
_symmetry_Int_Tables_number 63
_symmetry_space_group_name_Hall '-C 2c 2'
loop_
_atom_site_label
_atom_site_type_symbol
_atom_site_fract_x
_atom_site_fract_y
_atom_site_fract_z
Ba1 Ba 0.0000 0.0000 0.0000
Ba2 Ba 0.0000 0.1913 0.0025
Ba3 Ba 0.0000 0.3993 0.2500
Na1 Na 0.0000 0.3880 0.7500
Pt1 Pt 0.0000 0.0984 0.7500

***

# Ba6Na2Pt3 PBE-GGA optimized geometry
# **Formation enthalpy at 0 K**: -0.47 eV per atom
# **V**: 48.38 Å³ per atom
data_Ba6Na2Pt3
_cell_length_a 8.0072
_cell_length_b 13.8458
_cell_length_c 9.9531
_cell_angle_alpha 90.00
_cell_angle_beta 105.32
_cell_angle_gamma 90.00
_symmetry_space_group_name_H-M 'C 1 2/m 1'
_symmetry_Int_Tables_number 12
loop_
_symmetry_equiv_pos_as_xyz
'x,y,z'
'-x,-y,-z'
'-x,y,-z'
'x,-y,z'
'x+1/2,y+1/2,z'
'-x+1/2,-y+1/2,-z'
'-x+1/2,y+1/2,-z'
'x+1/2,-y+1/2,z'
loop_
_atom_site_label
_atom_site_type_symbol
_atom_site_fract_x
_atom_site_fract_y
_atom_site_fract_z
Ba1 Ba 0.2235 0.0000 0.1759
Ba2 Ba 0.2249 0.3338 0.1757
Na1 Na 0.0000 0.3339 0.5000
Pt1 Pt 0.0000 0.1672 0.0000
Pt2 Pt 0.0000 0.5000 0.0000

***

# BaNaPt10 PBE-GGA optimized geometry
# **Formation enthalpy at 0 K**: -0.31 eV per atom
# **V**: 19.10 Å³ per atom
data_BaNaPt10
_cell_length_a 4.3939
_cell_length_b 5.4889
_cell_length_c 9.5053
_cell_angle_alpha 90.00
_cell_angle_beta 90.00
_cell_angle_gamma 90.00
_symmetry_space_group_name_H-M 'P m m m'
_symmetry_Int_Tables_number 47
loop_
_symmetry_equiv_pos_as_xyz
'x,y,z'
'-x,-y,-z'
'-x,-y,z'
'x,y,-z'
'x,-y,-z'
'-x,y,z'
'-x,y,-z'
'x,-y,z'
loop_
_atom_site_label
_atom_site_type_symbol
_atom_site_fract_x
_atom_site_fract_y
_atom_site_fract_z
Ba1 Ba 0.0000 0.0000 0.0000
Na1 Na 0.0000 0.5000 0.5000
Pt1 Pt 0.0000 0.0000 0.3428
Pt2 Pt 0.0000 0.5000 0.1795
Pt3 Pt 0.5000 0.0000 0.5000
Pt4 Pt 0.5000 0.2509 0.2546
Pt5 Pt 0.5000 0.5000 0.0000

***

# Ba12NaPt4 PBE-GGA optimized geometry
# **Formation enthalpy at 0 K**: -0.44 eV per atom
# **V**: 51.00 Å³ per atom
data_Ba12NaPt4
_cell_length_a 12.0142
_cell_length_b 12.0142
_cell_length_c 12.0142
_cell_angle_alpha 90.00
_cell_angle_beta 90.00
_cell_angle_gamma 90.00
_symmetry_space_group_name_H-M 'I m -3'
_symmetry_Int_Tables_number 204
_symmetry_space_group_name_Hall '-I 2 2 3'
loop_
_atom_site_label
_atom_site_type_symbol
_atom_site_fract_x
_atom_site_fract_y
_atom_site_fract_z
Ba1 Ba 0.0000 0.1858 0.3047
Na1 Na 0.0000 0.0000 0.0000
Pt1 Pt 0.2500 0.2500 0.2500

***

- Among the records above, which one has the highest formation enthalpy at 0 K?
  Ba5NaPt